# 1
Compound: LiZnCu3
Source: the Alexandria database
Functional: PBE-GGA
Structure: relaxed

## Properties
ΔH_f (0 K) ... 2.429 eV per formula unit
Space-group type ... Pm-3m
Relative energy among the computed polymorphs ... 0.557 eV/atom

Cell: 4.530 4.530 4.530 Å, 90.00 90.00 90.00°
Sites, in units of the cell vectors:
Li  0.000  0.000  0.000
Zn  0.500  0.500  0.500
Cu  0.000  0.500  0.500
Cu  0.500  0.000  0.500
Cu  0.500  0.500  0.000



# 2
Compound: RbHfSiOs2
Source: the Alexandria database
Functional: PBE-GGA
Structure: relaxed

## Properties
ΔE_f (raw) ... 71.24 kcal/mol of atoms
Space-group type ... P4/mmm

Cell: 4.767 4.767 4.748 Å, 90.00 90.00 90.00°
Sites, in units of the cell vectors:
Rb  0.000  0.000  0.000
Hf  0.500  0.500  0.500
Si  0.000  0.000  0.500
Os  0.000  0.500  0.000
Os  0.500  0.000  0.000



# 3
Compound: NbPO6
Source: the Alexandria database
Functional: PBE-GGA
Structure: relaxed

## Properties
ΔE_f (raw) ... -39.23 kcal/mol of atoms
Space-group type ... Fm-3m

Cell: 5.161 5.161 5.161 Å, 60.00 60.00 60.00°
Sites, in units of the cell vectors:
Nb  0.000  0.000  0.000
P  0.500  0.500  0.500
O  0.272  0.272  0.728
O  0.272  0.728  0.272
O  0.272  0.728  0.728
O  0.728  0.272  0.272
O  0.728  0.272  0.728
O  0.728  0.728  0.272



# 4
Compound: SrTb2Rh
Source: the Alexandria database
Functional: PBE-GGA
Structure: relaxed

## Properties
ΔH_f (0 K) ... -1.332 eV per formula unit
Space-group type ... P4/mmm
Relative energy among the computed polymorphs ... 0.055 eV/atom

Cell: 3.554 3.554 9.747 Å, 90.00 90.00 90.00°
Sites, in units of the cell vectors:
Sr  0.000  0.000  0.000
Tb  0.500  0.500  0.336
Tb  0.500  0.500  0.664
Rh  0.000  0.000  0.500